[1]
Material: SrLiAu2
Method: DFT, PBE-GGA
State: relaxed

abc: 4.5766 4.5766 15.9042
angles: 90.00 90.00 120.00
With the nearest neighbours (Å) after each atom.
Space group R-3m (No. 166, hexagonal axes)
Unique sites:
Sr 0.0000 0.0000 0.0000  8 Au 3.30-3.32
Li 0.0000 0.0000 0.5000  6 Au 2.73
Au 0.0000 0.0000 0.2089  3 Li 2.73, 3 Au 2.96

Crystal system   trigonal
Calculated total energy   -0.2357 Ry/atom
Energy relative to the elements   -669 meV per atom
Polymorph energy (0 for the lowest one)   0.00 eV per formula unit
N(E_F)   5.49 states/eV per cell

[2]
Material: Sr2LiAu3
Method: DFT, PBE-GGA
State: relaxed

abc: 8.1067 9.4617 16.2307
angles: 90.00 90.00 90.00
With the nearest neighbours (Å) after each atom.
Space group Fmmm (No. 69)
Unique sites:
Sr 0.2459 0.0000 0.0000  10 Au 3.35-3.50, 2 Li 3.41
Sr 0.2500 0.2500 0.2500  8 Au 3.33-3.36, 4 Li 3.39
Li 0.0000 0.0000 0.3324  3 Au 2.57-2.58
Au 0.0000 0.0000 0.1731  1 Li 2.58, 2 Au 2.87
Au 0.0000 0.2350 0.4123  1 Li 2.57, 2 Au 2.85-2.87

Crystal system   orthorhombic
Calculated total energy   -0.2350 Ry/atom
Energy relative to the elements   -680 meV per atom
N(E_F)   14.70 states/eV per cell

[3]
Material: SrLiAu2
Method: DFT, PBE-GGA
State: relaxed

abc: 7.7736 4.4910 6.1169
angles: 90.00 115.21 90.00
With the nearest neighbours (Å) after each atom.
Space group Cm (No. 8)
Unique sites:
Sr 0.0000 0.0000 0.0000  4 Li 3.16-3.52, 7 Au 3.30-3.39
Li 0.3099 0.5000 0.4290  6 Au 2.61-2.79
Au 0.2044 0.0000 0.6126  3 Li 2.78-2.79, 3 Au 2.92
Au 0.4564 0.0000 0.3690  3 Li 2.61, 3 Au 2.92

Crystal system   monoclinic
Calculated total energy   -0.2292 Ry/atom
Energy relative to the elements   -581 meV per atom
Polymorph energy (0 for the lowest one)   0.36 eV per formula unit
N(E_F)   3.04 states/eV per cell

[4]
Material: Sr2Li5Au12
Method: DFT, PBE-GGA
State: relaxed

abc: 9.5077 9.5077 14.0129
angles: 90.00 90.00 120.00
With the nearest neighbours (Å) after each atom.
Space group R-3m (No. 166, hexagonal axes)
Unique sites:
Sr 0.0000 0.0000 0.1494  15 Au 3.34-3.70, 1 Li 3.64
Li 0.0000 0.0000 0.4090  1 Li 2.55, 3 Au 2.85
Li 0.0000 0.5000 0.0000  8 Au 2.67-2.75, 2 Li 2.94
Au 0.0000 0.3014 0.5000  2 Li 2.75, 6 Au 2.87-2.89
Au 0.0209 0.5104 0.3459  3 Li 2.67-2.85, 6 Au 2.87-2.94

Crystal system   trigonal
Calculated total energy   -0.2407 Ry/atom
Energy relative to the elements   -525 meV per atom
N(E_F)   14.85 states/eV per cell

[5]
Material: SrLi3Au
Method: DFT, PBE-GGA
State: relaxed

abc: 5.0389 5.0389 5.0389
angles: 90.00 90.00 90.00
With the nearest neighbours (Å) after each atom.
Space group Pm-3m (No. 221)
Unique sites:
Sr 0.0000 0.0000 0.0000  12 Li 3.56
Li 0.0000 0.5000 0.5000  2 Au 2.52
Au 0.5000 0.5000 0.5000  6 Li 2.52

Crystal system   cubic
Calculated total energy   -0.1740 Ry/atom
Energy relative to the elements   -227 meV per atom
Polymorph energy (0 for the lowest one)   0.45 eV per formula unit
N(E_F)   2.83 states/eV per cell

[6]
Material: SrLiAu2
Method: DFT, PBE-GGA
State: relaxed

abc: 7.2506 7.2506 7.2506
angles: 90.00 90.00 90.00
With the nearest neighbours (Å) after each atom.
Space group Fm-3m (No. 225)
Unique sites:
Sr 0.0000 0.0000 0.0000  8 Au 3.14
Li 0.0000 0.0000 0.5000  8 Au 3.14
Au 0.2500 0.2500 0.2500  4 Li 3.14, 4 Sr 3.14

Crystal system   cubic
Calculated total energy   -0.2283 Ry/atom
Energy relative to the elements   -568 meV per atom
Polymorph energy (0 for the lowest one)   0.41 eV per formula unit
N(E_F)   6.12 states/eV per cell

[7]
Material: Sr4Li5Au6
Method: DFT, PBE-GGA
State: relaxed

abc: 4.4775 20.7782 16.2648
angles: 90.00 90.00 90.00
With the nearest neighbours (Å) after each atom.
Space group Cmc2_1 (No. 36)
Unique sites:
Sr 0.0000 0.0120 0.0000  7 Au 3.26-3.41, 3 Li 3.54-3.59
Sr 0.0000 0.0285 0.2603  6 Au 3.24-3.29, 5 Li 3.37-3.52
Sr 0.0000 0.1683 0.8010  6 Au 3.17-3.28
Sr 0.0000 0.1812 0.4409  6 Au 3.17-3.25
Li 0.0000 0.1527 0.1229  4 Au 2.56-2.81
Li 0.0000 0.2995 0.1169  4 Au 2.72-2.86, 1 Li 2.95
Li 0.0000 0.3409 0.7546  4 Au 2.62-2.86
Li 0.0000 0.3529 0.4885  4 Au 2.65-2.82
Li 0.0000 0.4382 0.1564  3 Au 2.57-2.81
Au 0.0000 0.1146 0.6186  4 Li 2.57-2.86
Au 0.0000 0.2149 0.9870  4 Li 2.56-2.75
Au 0.0000 0.2248 0.2539  4 Li 2.60-2.72
Au 0.0000 0.4256 0.8934  1 Li 2.86, 1 Au 2.88
Au 0.0000 0.4287 0.6266  5 Li 2.74-2.81
Au 0.0000 0.4390 0.3544  1 Li 2.82, 1 Au 2.88

Crystal system   orthorhombic
Calculated total energy   -0.2176 Ry/atom
Energy relative to the elements   -564 meV per atom
N(E_F)   19.28 states/eV per cell

[8]
Material: SrLi5Au3
Method: DFT, PBE-GGA
State: relaxed

abc: 4.2219 13.4979 12.8003
angles: 90.00 90.00 90.00
With the nearest neighbours (Å) after each atom.
Space group Cmcm (No. 63)
Unique sites:
Sr 0.0000 0.1610 0.2500  6 Au 3.33-3.47
Li 0.0000 0.0000 0.0000  4 Au 2.67, 6 Li 2.76-2.96
Li 0.0000 0.1983 0.5515  4 Au 2.61-2.80, 3 Li 2.76-2.85
Li 0.0000 0.4300 0.1446  4 Au 2.62-2.66, 1 Li 2.70
Au 0.0000 0.1352 0.7500  6 Li 2.66-2.68
Au 0.0000 0.3915 0.5561  7 Li 2.61-2.80

Crystal system   orthorhombic
Calculated total energy   -0.2075 Ry/atom
Energy relative to the elements   -481 meV per atom
N(E_F)   10.85 states/eV per cell

[9]
Material: Sr3Li4Au2
Method: DFT, PBE-GGA
State: relaxed

abc: 11.6391 4.9357 9.2883
angles: 90.00 113.82 90.00
With the nearest neighbours (Å) after each atom.
Space group C2/m (No. 12)
Unique sites:
Sr 0.0000 0.0000 0.0000  2 Au 3.16, 6 Li 3.39-3.53
Sr 0.1071 0.5000 0.3663  4 Au 3.26-3.62, 3 Li 3.38-3.49
Li 0.1141 0.0000 0.6657  1 Li 2.71, 2 Au 2.72
Li 0.2088 0.5000 0.0350  1 Au 2.70, 3 Li 2.71-2.82
Au 0.2186 0.5000 0.7494  3 Li 2.70-2.72

Crystal system   monoclinic
Calculated total energy   -0.1833 Ry/atom
Energy relative to the elements   -355 meV per atom
N(E_F)   8.90 states/eV per cell

[10]
Material: Sr3LiAu2
Method: DFT, PBE-GGA
State: relaxed

abc: 12.6041 4.5517 13.0647
angles: 90.00 90.00 90.00
With the nearest neighbours (Å) after each atom.
Space group Pnma (No. 62)
Unique sites:
Sr 0.0568 0.2500 0.1218  5 Au 3.35-3.46, 1 Li 3.37
Sr 0.1260 0.7500 0.5623  3 Li 3.28-3.38, 5 Au 3.37-3.41
Sr 0.1996 0.2500 0.8073  4 Au 3.26-3.43, 2 Li 3.28
Li 0.1249 0.2500 0.3713  3 Au 2.67-2.75
Au 0.0286 0.7500 0.3188  2 Li 2.67
Au 0.1921 0.7500 0.9863  1 Li 2.75

Crystal system   orthorhombic
Calculated total energy   -0.2078 Ry/atom
Energy relative to the elements   -575 meV per atom
N(E_F)   11.36 states/eV per cell

[11]
Material: Sr3Li4Au4
Method: DFT, PBE-GGA
State: relaxed

abc: 4.3039 4.4524 14.3710
angles: 81.09 81.49 90.00
With the nearest neighbours (Å) after each atom.
Space group P-1 (No. 2)
Unique sites:
Sr 0.0000 0.0000 0.0000  8 Au 3.40-3.42, 4 Li 3.50
Sr 0.1479 0.6485 0.7048  6 Au 3.33-3.47, 8 Li 3.39-3.64
Li 0.2501 0.2500 0.4996  4 Au 2.70-2.76
Li 0.4012 0.9007 0.1967  3 Au 2.59-2.63
Au 0.3072 0.8075 0.3840  5 Li 2.63-2.76
Au 0.4507 0.4478 0.1017  2 Li 2.59-2.60, 1 Au 2.86

Crystal system   triclinic
Calculated total energy   -0.2144 Ry/atom
Energy relative to the elements   -570 meV per atom
Polymorph energy (0 for the lowest one)   0.13 eV per formula unit
N(E_F)   4.20 states/eV per cell

> Look up the energy relative to the elements of the eighth one.

-481 meV per atom

> Among the records above, which one has the highest energy relative to the elements?

SrLi3Au

> Which of these has the highest calculated total energy?

SrLi3Au

> What is the formula in the fourth record?

Sr2Li5Au12